Hf5In2Bi2 after structural relaxation, computed with PBE.

* formation enthalpy at 0 K: 0.036 eV per atom
* space-group type: C2, No. 5

Lattice parameters (Å, degrees): 8.300 7.515 10.254 111.50 130.17 90.00
Element x y z (fractional)
1 Hf 0.787 0.851 0.786
2 Hf 0.634 0.395 0.378
3 Hf 0.366 0.017 0.622
4 Hf 0.093 0.617 0.863
5 Hf 0.907 0.755 0.137
6 Hf 0.082 0.280 0.528
7 Hf 0.918 0.751 0.472
8 Hf 0.762 0.142 0.082
9 Hf 0.238 0.060 0.918
10 Hf 0.213 0.065 0.214
11 In 0.135 0.517 0.364
12 In 0.500 0.425 0.000
13 In 0.865 0.153 0.636
14 In 0.000 0.321 0.000
15 Bi 0.578 0.397 0.652
16 Bi 0.422 0.745 0.348
17 Bi 0.390 0.733 0.785
18 Bi 0.610 0.948 0.215

Hf7In2Bi2 after structural relaxation, computed with PBE.

* formation enthalpy at 0 K: 0.143 eV per atom
* space-group type: C2/m, No. 12

Lattice parameters (Å, degrees): 5.832 7.211 7.211 94.52 107.65 107.65
Element x y z (fractional)
1 In 0.000 0.846 0.154
2 In 0.000 0.154 0.846
3 Hf 0.976 0.713 0.713
4 Hf 0.714 0.412 0.934
5 Hf 0.500 0.000 0.000
6 Hf 0.286 0.066 0.588
7 Hf 0.286 0.588 0.066
8 Hf 0.714 0.934 0.412
9 Hf 0.024 0.287 0.287
10 Bi 0.412 0.647 0.647
11 Bi 0.588 0.353 0.353

Hf8InBi2 after structural relaxation, computed with PBE.

* formation enthalpy at 0 K: 0.118 eV per atom
* space-group type: C2/m, No. 12

Lattice parameters (Å, degrees): 5.452 7.812 7.812 120.83 101.63 101.63
Element x y z (fractional)
1 In 0.500 0.000 0.000
2 Hf 0.500 0.778 0.222
3 Hf 0.303 0.587 0.587
4 Hf 0.500 0.222 0.778
5 Hf 0.159 0.098 0.313
6 Hf 0.841 0.902 0.687
7 Hf 0.697 0.413 0.413
8 Hf 0.841 0.687 0.902
9 Hf 0.159 0.313 0.098
10 Bi 0.000 0.697 0.303
11 Bi 0.000 0.303 0.697